Record 1
Density functional theory data (PBE) for a geometry-optimized La2Zn3Si structure.

Geometry as CIF:
```
data_La2Zn3Si
_cell_length_a 5.980
_cell_length_b 5.980
_cell_length_c 8.895
_cell_angle_alpha 111.92
_cell_angle_beta 111.92
_cell_angle_gamma 83.66
_space_group_name_H-M_alt 'P 1'
_space_group_IT_number 1
_space_group_name_Hall 'P 1'
loop_
_atom_site_label
_atom_site_type_symbol
_atom_site_fract_x
_atom_site_fract_y
_atom_site_fract_z
_atom_site_occupancy
La1 La 0.750 0.250 0.500 1
La2 La 0.757 0.243 0.000 1
La3 La 0.250 0.750 0.500 1
La4 La 0.243 0.757 0.000 1
Zn1 Zn 0.828 0.828 0.168 1
Zn2 Zn 0.661 0.661 0.832 1
Zn3 Zn 0.172 0.172 0.832 1
Zn4 Zn 0.339 0.339 0.168 1
Zn5 Zn 0.169 0.169 0.338 1
Zn6 Zn 0.831 0.831 0.662 1
Si1 Si 0.666 0.666 0.332 1
Si2 Si 0.334 0.334 0.668 1
```

**Energy**: -3.669 eV per atom
**Total magnetic moment**: 0.000 μB/atom
**Space-group type**: Fmmm, No. 69
**Calculated volume**: 22.80 Å³/atom
**Formation energy without anion corrections**: -0.485 eV/atom

Record 2
Density functional theory data (PBE) for a geometry-optimized Ca4Cu2N structure.

Geometry as CIF:
```
data_Ca4Cu2N
_cell_length_a 4.695
_cell_length_b 4.695
_cell_length_c 8.818
_cell_angle_alpha 74.56
_cell_angle_beta 74.56
_cell_angle_gamma 90.00
_space_group_name_H-M_alt 'P 1'
_space_group_IT_number 1
_space_group_name_Hall 'P 1'
loop_
_atom_site_label
_atom_site_type_symbol
_atom_site_fract_x
_atom_site_fract_y
_atom_site_fract_z
_atom_site_occupancy
Ca1 Ca 0.691 0.691 0.619 1
Ca2 Ca 0.309 0.309 0.381 1
Ca3 Ca 0.000 0.500 0.000 1
Ca4 Ca 0.500 0.000 0.000 1
Cu1 Cu 0.878 0.878 0.245 1
Cu2 Cu 0.122 0.122 0.755 1
N1 N 0.000 0.000 0.000 1
```

**Energy**: -3.665 eV per atom
**Total magnetic moment**: 0.000 μB/atom
**Space-group type**: I4/mmm, No. 139
**Calculated volume**: 25.72 Å³/atom
**Formation energy without anion corrections**: -0.161 eV/atom

Record 3
Density functional theory data (PBE) for a geometry-optimized Hf2SnH structure.

Geometry as CIF:
```
data_Hf2SnH
_cell_length_a 4.724
_cell_length_b 4.724
_cell_length_c 4.724
_cell_angle_alpha 60.00
_cell_angle_beta 60.00
_cell_angle_gamma 60.00
_space_group_name_H-M_alt 'P 1'
_space_group_IT_number 1
_space_group_name_Hall 'P 1'
loop_
_atom_site_label
_atom_site_type_symbol
_atom_site_fract_x
_atom_site_fract_y
_atom_site_fract_z
_atom_site_occupancy
H1 H 0.000 0.000 0.000 1
Hf1 Hf 0.250 0.250 0.250 1
Hf2 Hf 0.750 0.750 0.750 1
Sn1 Sn 0.500 0.500 0.500 1
```

**ΔE to the lowest computed polymorph**: 1.79 eV per formula unit
**Energy**: -6.565 eV per atom
**Total magnetic moment**: 0.000 μB/atom
**Space-group type**: Fm-3m, No. 225
**Calculated volume**: 18.64 Å³/atom

Record 4
Density functional theory data (PBE) for a geometry-optimized NdErPu2P4 structure.

Geometry as CIF:
```
data_NdErPu2P4
_cell_length_a 4.036
_cell_length_b 6.973
_cell_length_c 6.959
_cell_angle_alpha 109.66
_cell_angle_beta 90.00
_cell_angle_gamma 90.00
_space_group_name_H-M_alt 'P 1'
_space_group_IT_number 1
_space_group_name_Hall 'P 1'
loop_
_atom_site_label
_atom_site_type_symbol
_atom_site_fract_x
_atom_site_fract_y
_atom_site_fract_z
_atom_site_occupancy
Nd1 Nd 0.000 0.000 0.000 1
Er1 Er 0.500 0.500 0.000 1
Pu1 Pu 0.500 0.000 0.500 1
Pu2 Pu 0.000 0.500 0.500 1
P1 P 0.500 0.261 0.261 1
P2 P 0.500 0.739 0.739 1
P3 P 0.000 0.253 0.744 1
P4 P 0.000 0.747 0.256 1
```

**Calculated formation energy**: -1.321 eV/atom
**Energy**: -8.775 eV per atom
**Total magnetic moment**: 0.012 μB/atom
**Space-group type**: P2/m, No. 10
**Calculated volume**: 23.06 Å³/atom

Record 5
Density functional theory data (PBE) for a geometry-optimized Ta3TcH structure.

Geometry as CIF:
```
data_Ta3TcH
_cell_length_a 4.168
_cell_length_b 4.168
_cell_length_c 4.168
_cell_angle_alpha 90.00
_cell_angle_beta 90.00
_cell_angle_gamma 90.00
_space_group_name_H-M_alt 'P 1'
_space_group_IT_number 1
_space_group_name_Hall 'P 1'
loop_
_atom_site_label
_atom_site_type_symbol
_atom_site_fract_x
_atom_site_fract_y
_atom_site_fract_z
_atom_site_occupancy
H1 H 0.000 0.000 0.000 1
Tc1 Tc 0.500 0.500 0.500 1
Ta1 Ta 0.000 0.500 0.000 1
Ta2 Ta 0.000 0.000 0.500 1
Ta3 Ta 0.500 0.000 0.000 1
```

**ΔE to the lowest computed polymorph**: 0.00 eV per formula unit
**Energy**: -9.761 eV per atom
**Total magnetic moment**: 0.000 μB/atom
**Space-group type**: Pm-3m, No. 221
**Calculated volume**: 14.49 Å³/atom

Record 6
Density functional theory data (PBE) for a geometry-optimized Rb3TlGe2Br9 structure.

Geometry as CIF:
```
data_Rb3TlGe2Br9
_cell_length_a 7.869
_cell_length_b 7.869
_cell_length_c 10.475
_cell_angle_alpha 90.00
_cell_angle_beta 90.00
_cell_angle_gamma 120.00
_space_group_name_H-M_alt 'P 1'
_space_group_IT_number 1
_space_group_name_Hall 'P 1'
loop_
_atom_site_label
_atom_site_type_symbol
_atom_site_fract_x
_atom_site_fract_y
_atom_site_fract_z
_atom_site_occupancy
Rb1 Rb 0.333 0.667 0.730 1
Rb2 Rb 0.000 0.000 0.000 1
Rb3 Rb 0.667 0.333 0.270 1
Tl1 Tl 0.000 0.000 0.500 1
Ge1 Ge 0.333 0.667 0.164 1
Ge2 Ge 0.667 0.333 0.836 1
Br1 Br 0.827 0.173 0.699 1
Br2 Br 0.827 0.654 0.699 1
Br3 Br 0.346 0.173 0.699 1
Br4 Br 0.654 0.827 0.301 1
Br5 Br 0.173 0.346 0.301 1
Br6 Br 0.173 0.827 0.301 1
Br7 Br 0.500 0.000 0.000 1
Br8 Br 0.000 0.500 0.000 1
Br9 Br 0.500 0.500 0.000 1
```

**Energy**: -3.034 eV per atom
**Total magnetic moment**: 0.000 μB/atom
**Space-group type**: P-3m1, No. 164
**Calculated volume**: 37.45 Å³/atom
**Formation energy without anion corrections**: -1.063 eV/atom

Record 7
Density functional theory data (PBE) for a geometry-optimized InAgSnPd2 structure.

Geometry as CIF:
```
data_InAgSnPd2
_cell_length_a 5.002
_cell_length_b 5.432
_cell_length_c 5.002
_cell_angle_alpha 90.00
_cell_angle_beta 90.00
_cell_angle_gamma 90.00
_space_group_name_H-M_alt 'P 1'
_space_group_IT_number 1
_space_group_name_Hall 'P 1'
loop_
_atom_site_label
_atom_site_type_symbol
_atom_site_fract_x
_atom_site_fract_y
_atom_site_fract_z
_atom_site_occupancy
Pd1 Pd 0.000 0.000 0.500 1
Pd2 Pd 0.500 0.000 0.000 1
Sn1 Sn 0.000 0.000 0.000 1
Ag1 Ag 0.500 0.500 0.500 1
In1 In 0.000 0.500 0.000 1
```

**Calculated formation energy**: 0.562 eV/atom
**Energy**: -3.434 eV per atom
**Total magnetic moment**: 0.000 μB/atom
**Space-group type**: P4/mmm, No. 123
**Calculated volume**: 27.19 Å³/atom

Record 8
Density functional theory data (PBE) for a geometry-optimized Ba2LiZn2S2O2 structure.

Geometry as CIF:
```
data_Ba2LiZn2S2O2
_cell_length_a 3.993
_cell_length_b 6.186
_cell_length_c 7.536
_cell_angle_alpha 79.64
_cell_angle_beta 90.00
_cell_angle_gamma 90.00
_space_group_name_H-M_alt 'P 1'
_space_group_IT_number 1
_space_group_name_Hall 'P 1'
loop_
_atom_site_label
_atom_site_type_symbol
_atom_site_fract_x
_atom_site_fract_y
_atom_site_fract_z
_atom_site_occupancy
Ba1 Ba 0.000 0.729 0.190 1
Ba2 Ba 0.000 0.328 0.816 1
Li1 Li 0.000 0.882 0.570 1
Zn1 Zn 0.500 0.232 0.186 1
Zn2 Zn 0.500 0.809 0.831 1
S1 S 0.000 0.203 0.350 1
S2 S 0.500 0.670 0.557 1
O1 O 0.500 0.528 0.017 1
O2 O 0.500 0.036 0.992 1
```

**ΔE to the lowest computed polymorph**: 0.00 eV per formula unit
**Energy**: -4.453 eV per atom
**Total magnetic moment**: 0.096 μB/atom
**Space-group type**: Pm, No. 6
**Calculated volume**: 20.35 Å³/atom
**Formation energy without anion corrections**: -1.511 eV/atom

Record 9
Density functional theory data (PBE) for a geometry-optimized AcTb5Sm4 structure.

Geometry as CIF:
```
data_AcTb5Sm4
_cell_length_a 6.438
_cell_length_b 8.023
_cell_length_c 8.023
_cell_angle_alpha 80.74
_cell_angle_beta 66.34
_cell_angle_gamma 66.34
_space_group_name_H-M_alt 'P 1'
_space_group_IT_number 1
_space_group_name_Hall 'P 1'
loop_
_atom_site_label
_atom_site_type_symbol
_atom_site_fract_x
_atom_site_fract_y
_atom_site_fract_z
_atom_site_occupancy
Ac1 Ac 0.230 0.000 0.000 1
Tb1 Tb 0.790 0.388 0.915 1
Tb2 Tb 0.178 0.915 0.612 1
Tb3 Tb 0.704 0.085 0.388 1
Tb4 Tb 0.093 0.612 0.085 1
Tb5 Tb 0.699 0.000 0.000 1
Sm1 Sm 0.401 0.406 0.700 1
Sm2 Sm 0.807 0.700 0.594 1
Sm3 Sm 0.101 0.300 0.406 1
Sm4 Sm 0.507 0.594 0.300 1
```

**Calculated formation energy**: 0.314 eV/atom
**Energy**: -4.299 eV per atom
**Total magnetic moment**: 0.000 μB/atom
**Space-group type**: I4, No. 79
**Calculated volume**: 34.77 Å³/atom

Record 10
Density functional theory data (PBE) for a geometry-optimized ReAu2F structure.

Geometry as CIF:
```
data_ReAu2F
_cell_length_a 4.465
_cell_length_b 4.465
_cell_length_c 4.465
_cell_angle_alpha 60.00
_cell_angle_beta 60.00
_cell_angle_gamma 60.00
_space_group_name_H-M_alt 'P 1'
_space_group_IT_number 1
_space_group_name_Hall 'P 1'
loop_
_atom_site_label
_atom_site_type_symbol
_atom_site_fract_x
_atom_site_fract_y
_atom_site_fract_z
_atom_site_occupancy
Re1 Re 0.500 0.500 0.500 1
Au1 Au 0.250 0.250 0.250 1
Au2 Au 0.750 0.750 0.750 1
F1 F 0.000 0.000 0.000 1
```

**ΔE to the lowest computed polymorph**: 0.16 eV per formula unit
**Energy**: -4.630 eV per atom
**Total magnetic moment**: 0.000 μB/atom
**Space-group type**: Fm-3m, No. 225
**Calculated volume**: 15.74 Å³/atom
**Formation energy without anion corrections**: 0.588 eV/atom

Record 11
Density functional theory data (PBE) for a geometry-optimized MgCr2Pb structure.

Geometry as CIF:
```
data_MgCr2Pb
_cell_length_a 9.769
_cell_length_b 9.769
_cell_length_c 9.769
_cell_angle_alpha 18.83
_cell_angle_beta 18.83
_cell_angle_gamma 18.83
_space_group_name_H-M_alt 'P 1'
_space_group_IT_number 1
_space_group_name_Hall 'P 1'
loop_
_atom_site_label
_atom_site_type_symbol
_atom_site_fract_x
_atom_site_fract_y
_atom_site_fract_z
_atom_site_occupancy
Cr1 Cr 0.997 0.997 0.997 1
Cr2 Cr 0.503 0.503 0.503 1
Mg1 Mg 0.250 0.250 0.250 1
Pb1 Pb 0.750 0.750 0.750 1
```

**Calculated formation energy**: 0.721 eV/atom
**Energy**: -5.417 eV per atom
**Total magnetic moment**: 2.014 μB/atom
**Space-group type**: R-3m, No. 166
**Calculated volume**: 21.22 Å³/atom

Record 12
Density functional theory data (PBE) for a geometry-optimized LiPrHo2 structure.

Geometry as CIF:
```
data_LiPrHo2
_cell_length_a 3.495
_cell_length_b 3.495
_cell_length_c 12.380
_cell_angle_alpha 81.89
_cell_angle_beta 81.89
_cell_angle_gamma 60.00
_space_group_name_H-M_alt 'P 1'
_space_group_IT_number 1
_space_group_name_Hall 'P 1'
loop_
_atom_site_label
_atom_site_type_symbol
_atom_site_fract_x
_atom_site_fract_y
_atom_site_fract_z
_atom_site_occupancy
Pr1 Pr 0.500 0.500 0.500 1
Ho1 Ho 0.088 0.088 0.737 1
Ho2 Ho 0.912 0.912 0.263 1
Li1 Li 0.000 0.000 0.000 1
```

**Calculated formation energy**: 0.211 eV/atom
**ΔE to the lowest computed polymorph**: 0.52 eV per formula unit
**Energy**: -3.751 eV per atom
**Total magnetic moment**: 0.000 μB/atom
**Space-group type**: R-3m, No. 166
**Calculated volume**: 32.29 Å³/atom